## NiMo2W (PBE-GGA)

Data for a relaxed structure of NiMo2W.

Values from the calculation:
The formation energy comes out at 123.6 meV/atom. As for the energy relative to the lowest polymorph listed for this composition: 75 meV per atom. The value obtained for the density of states at the Fermi level is 3.89 states/eV/cell. The calculation puts the total energy at -9.9756 eV per atom. The calculation puts the spin magnetization at 0.00 μB per atom.

```
data_NiMo2W
_symmetry_space_group_name_H-M 'P 4 m m'
_symmetry_Int_Tables_number 99
_cell_length_a 3.206
_cell_length_b 3.206
_cell_length_c 5.747
_cell_angle_alpha 90.00
_cell_angle_beta 90.00
_cell_angle_gamma 90.00
loop_
_symmetry_equiv_pos_as_xyz
'x,y,z'
'-y,x,z'
'-x,-y,z'
'y,-x,z'
'-x,y,z'
'y,x,z'
'x,-y,z'
'-y,-x,z'
loop_
_atom_site_label
_atom_site_type_symbol
_atom_site_fract_x
_atom_site_fract_y
_atom_site_fract_z
Ni1 Ni 0.000 0.000 0.000
Mo1 Mo 0.000 0.000 0.495
Mo2 Mo 0.500 0.500 0.753
W1 W 0.500 0.500 0.227
```